No. 1
InTePI2 | PBE-GGA | optimized geometry

Cell lengths 5.768, 5.768, 5.489 Å; angles 90.00, 90.00, 90.00 degrees
Fractional positions:
I 0.500 0.000 0.000
Te 0.000 0.000 0.500
P 0.000 0.000 0.000
In 0.500 0.500 0.500
I 0.000 0.500 0.000

Output
For the uncorrected formation energy, the calculation gives 12 kJ/mol of atoms. As for the mass density: 4.8 g cm⁻³. As for the space group: P4/mmm.

---

No. 2
YB2W | PBE-GGA | optimized geometry

Cell lengths 4.235, 4.235, 4.235 Å; angles 60.00, 60.00, 60.00 degrees
Fractional positions:
Y 0.000 0.000 0.000
B 0.250 0.250 0.250
W 0.500 0.500 0.500
B 0.750 0.750 0.750

Output
The energy of formation is 0.646 eV per atom. As for the mass density: 9.1 g cm⁻³. As for the space group: Fm-3m.

---

No. 3
Pm2CI2 | PBE-GGA | optimized geometry

Cell lengths 3.982, 3.983, 12.184 Å; angles 81.70, 80.59, 60.00 degrees
Fractional positions:
I 0.445 0.910 0.200
Pm 0.710 0.196 0.384
Pm 0.290 0.804 0.616
I 0.555 0.090 0.800
C 0.000 0.500 0.500

Output
For the uncorrected formation energy, the calculation gives -86 kJ/mol of atoms. As for the mass density: 5.6 g cm⁻³. As for the space group: C2/m.

---

No. 4
BaTlGa | PBE-GGA | optimized geometry

Cell lengths 4.436, 6.464, 8.953 Å; angles 126.10, 75.73, 89.93 degrees
Fractional positions:
Ba 0.479 0.681 0.801
Ba 0.247 0.488 0.269
Tl 0.775 0.943 0.212
Ga 0.128 0.194 0.503
Ga 0.597 0.976 0.567
Tl 0.952 0.226 0.858

Output
The energy of formation is -0.370 eV per atom. As for the mass density: 6.9 g cm⁻³. As for the space group: P-1.

---

No. 5
TiSiPO2 | PBE-GGA | optimized geometry

Cell lengths 3.445, 3.445, 5.266 Å; angles 90.00, 90.00, 90.00 degrees
Each line ends with the local moment (μB).
Fractional positions:
O 0.500 0.000 0.000  0.01
Ti 0.500 0.500 0.500  0.69
Si 0.000 0.000 0.000  0.00
O 0.000 0.500 0.000  0.01
P 0.000 0.000 0.500  -0.05

Output
For the uncorrected formation energy, the calculation gives -118 kJ/mol of atoms. As for the mass density: 3.7 g cm⁻³. As for the space group: P4/mmm.

---

No. 6
NdUCoS4 | PBE-GGA | optimized geometry

Cell lengths 6.361, 5.733, 7.797 Å; angles 90.00, 106.28, 90.00 degrees
Each line ends with the local moment (μB).
Fractional positions:
S 0.982 0.009 0.254  -0.04
S 0.018 0.991 0.746  -0.04
Nd 0.260 0.250 0.063  0.01
S 0.982 0.491 0.254  -0.04
S 0.018 0.509 0.746  -0.04
S 0.573 0.250 0.396  -0.07
U 0.754 0.750 0.444  1.85
Co 0.236 0.750 0.331  -0.75
S 0.427 0.750 0.604  -0.07
Co 0.764 0.250 0.669  -0.75
S 0.571 0.250 0.869  -0.05
U 0.246 0.250 0.556  1.85
S 0.429 0.750 0.131  -0.05
Nd 0.740 0.750 0.937  0.01

Output
For the uncorrected formation energy, the calculation gives -128 kJ/mol of atoms. As for the mass density: 6.9 g cm⁻³. As for the space group: P2_1/m.

---

No. 7
Pr2GaSi2 | PBE-GGA | optimized geometry

Cell lengths 4.161, 4.097, 7.043 Å; angles 106.91, 90.00, 90.00 degrees
Fractional positions:
Pr 0.000 0.687 0.373
Si 0.500 0.311 0.623
Ga 0.500 0.110 0.220
Pr 0.000 0.930 0.860
Si 0.500 0.504 0.008

Output
For the uncorrected formation energy, the calculation gives -55 kJ/mol of atoms. As for the mass density: 5.9 g cm⁻³. As for the space group: Amm2.

---

No. 8
KNi2SbP | PBE-GGA | optimized geometry

Cell lengths 4.039, 7.199, 8.234 Å; angles 102.65, 90.00, 90.00 degrees
Fractional positions:
K 0.750 0.942 0.251
Ni 0.750 0.480 0.804
Sb 0.750 0.350 0.070
Sb 0.250 0.650 0.930
K 0.250 0.058 0.749
P 0.250 0.685 0.446
Ni 0.250 0.465 0.594
P 0.750 0.315 0.554
Ni 0.750 0.535 0.406
Ni 0.250 0.520 0.196

Output
For the uncorrected formation energy, the calculation gives -32 kJ/mol of atoms. As for the mass density: 4.4 g cm⁻³. As for the space group: P2_1/m.

---

Copy entry 8 word for word.
KNi2SbP | PBE-GGA | optimized geometry

Cell lengths 4.039, 7.199, 8.234 Å; angles 102.65, 90.00, 90.00 degrees
Fractional positions:
K 0.750 0.942 0.251
Ni 0.750 0.480 0.804
Sb 0.750 0.350 0.070
Sb 0.250 0.650 0.930
K 0.250 0.058 0.749
P 0.250 0.685 0.446
Ni 0.250 0.465 0.594
P 0.750 0.315 0.554
Ni 0.750 0.535 0.406
Ni 0.250 0.520 0.196

Output
For the uncorrected formation energy, the calculation gives -32 kJ/mol of atoms. As for the mass density: 4.4 g cm⁻³. As for the space group: P2_1/m.

---

> Look up the mass density of the fourth one.

6.9 g cm⁻³